# PBE Sr2CeHfP4, optimized geometry
# Energy of formation   -1.234 eV per atom
# Uncorrected energy   -50.76 eV per cell
# Spin magnetization   0.1 Bohr magnetons per cell
data_Sr2CeHfP4
_chemical_formula_sum 'Sr2 Ce1 Hf1 P4'
_cell_length_a 7.030
_cell_length_b 4.064
_cell_length_c 7.285
_cell_angle_alpha 90.00
_cell_angle_beta 108.63
_cell_angle_gamma 90.00
_space_group_name_H-M_alt 'P 1 2/m 1'
_space_group_IT_number 10
loop_
_space_group_symop_operation_xyz
'x,y,z'
'-x,-y,-z'
'-x,y,-z'
'x,-y,z'
loop_
_atom_site_label
_atom_site_type_symbol
_atom_site_fract_x
_atom_site_fract_y
_atom_site_fract_z
Sr1 Sr 0.000 0.000 0.000
Sr2 Sr 0.500 0.500 0.000
Ce1 Ce 0.000 0.500 0.500
Hf1 Hf 0.500 0.000 0.500
P1 P 0.252 0.000 0.714
P2 P 0.275 0.500 0.290